Computed, not measured: an optimized crystal structure of NpZn2NiH8 at the PBE-GGA level of DFT.

The structure in CIF format:
```
data_NpZn2NiH8
_symmetry_space_group_name_H-M 'P 1'
_symmetry_Int_Tables_number 1
_symmetry_space_group_name_Hall 'P 1'
_cell_length_a 4.152
_cell_length_b 4.348
_cell_length_c 6.051
_cell_angle_alpha 71.03
_cell_angle_beta 80.27
_cell_angle_gamma 84.93
loop_
_atom_site_label
_atom_site_type_symbol
_atom_site_fract_x
_atom_site_fract_y
_atom_site_fract_z
Np1 Np 0.000 0.000 0.000
Zn1 Zn 0.495 0.674 0.698
Zn2 Zn 0.505 0.326 0.302
Ni1 Ni 0.000 0.500 0.500
H1 H 0.093 0.577 0.802
H2 H 0.210 0.157 0.580
H3 H 0.277 0.705 0.310
H4 H 0.466 0.165 0.084
H5 H 0.534 0.835 0.916
H6 H 0.723 0.295 0.690
H7 H 0.790 0.843 0.420
H8 H 0.907 0.423 0.198
```

Computed properties:
The value obtained for the electronic total energy is -3.99 eV per atom.

=====

Computed, not measured: an optimized crystal structure of KAsPd3 at the PBE-GGA level of DFT.

The structure in CIF format:
```
data_KAsPd3
_symmetry_space_group_name_H-M 'P 1'
_symmetry_Int_Tables_number 1
_symmetry_space_group_name_Hall 'P 1'
_cell_length_a 4.919
_cell_length_b 4.919
_cell_length_c 4.919
_cell_angle_alpha 90.00
_cell_angle_beta 90.00
_cell_angle_gamma 90.00
loop_
_atom_site_label
_atom_site_type_symbol
_atom_site_fract_x
_atom_site_fract_y
_atom_site_fract_z
K1 K 0.000 0.000 0.000
As1 As 0.500 0.500 0.500
Pd1 Pd 0.000 0.000 0.500
Pd2 Pd 0.000 0.500 0.000
Pd3 Pd 0.500 0.000 0.000
```

Computed properties:
The relative energy among the computed polymorphs is 1.715 eV per atom. The value obtained for the formation energy is 1432 meV per atom.

=====

Computed, not measured: an optimized crystal structure of PrGe2Mo at the PBE-GGA level of DFT.

The structure in CIF format:
```
data_PrGe2Mo
_symmetry_space_group_name_H-M 'P 1'
_symmetry_Int_Tables_number 1
_symmetry_space_group_name_Hall 'P 1'
_cell_length_a 4.909
_cell_length_b 4.909
_cell_length_c 20.022
_cell_angle_alpha 90.00
_cell_angle_beta 90.00
_cell_angle_gamma 120.00
loop_
_atom_site_label
_atom_site_type_symbol
_atom_site_fract_x
_atom_site_fract_y
_atom_site_fract_z
Pr1 Pr 0.000 0.000 0.000
Pr2 Pr 0.333 0.667 0.667
Pr3 Pr 0.667 0.333 0.333
Ge1 Ge 0.000 0.000 0.377
Ge2 Ge 0.000 0.000 0.623
Ge3 Ge 0.333 0.667 0.044
Ge4 Ge 0.333 0.667 0.290
Ge5 Ge 0.667 0.333 0.710
Ge6 Ge 0.667 0.333 0.956
Mo1 Mo 0.000 0.000 0.500
Mo2 Mo 0.333 0.667 0.167
Mo3 Mo 0.667 0.333 0.833
```

Computed properties:
The value obtained for the formation energy is 1067 meV per atom.

=====

no.,mass density (Mg/m³)
1,7.1
2,6.0
3,4.6